1.
Here is crystalline Cs2Rb5Au3 at its relaxed geometry from the Alexandria database. Energies are from PBE-GGA.

Output
energy relative to the elements: -147 meV/atom
total magnetization: 0.0000 μB per atom
D(E_F): 5.91 states/eV/f.u.

a = 12.8281 Å, b = 12.8281 Å, c = 7.6950 Å
α = 94.65°, β = 94.65°, γ = 114.71°
Last column: nearest neighbours and their distance in Å.
Atoms (fractional coordinates):
1 Cs 0.0904 0.7162 0.9743  1 Au 3.75
2 Cs 0.2838 0.9096 0.5257  1 Au 3.75
3 Cs 0.7162 0.0904 0.4743  1 Au 3.75
4 Cs 0.9096 0.2838 0.0257  1 Au 3.75
5 Rb 0.0048 0.9952 0.7500  4 Au 3.50-3.54, 2 Rb 3.85
6 Rb 0.2535 0.5271 0.4809  3 Au 3.62-3.84
7 Rb 0.2564 0.3453 0.9377  3 Au 3.45-3.65
8 Rb 0.3453 0.2564 0.4377  3 Au 3.45-3.65
9 Rb 0.4729 0.7465 0.0191  3 Au 3.62-3.84
10 Rb 0.5271 0.2535 0.9809  3 Au 3.62-3.84
11 Rb 0.6547 0.7436 0.5623  3 Au 3.45-3.65
12 Rb 0.7436 0.6547 0.0623  3 Au 3.45-3.65
13 Rb 0.7465 0.4729 0.5191  3 Au 3.62-3.84
14 Rb 0.9952 0.0048 0.2500  4 Au 3.50-3.54, 2 Rb 3.85
15 Au 0.0403 0.2450 0.5496  4 Rb 3.50-3.65, 1 Cs 3.75
16 Au 0.2450 0.0403 0.0496  4 Rb 3.50-3.65, 1 Cs 3.75
17 Au 0.4972 0.5028 0.2500  8 Rb 3.45-3.84, 2 Au 3.85
18 Au 0.5028 0.4972 0.7500  8 Rb 3.45-3.84, 2 Au 3.85
19 Au 0.7550 0.9597 0.9504  4 Rb 3.50-3.65, 1 Cs 3.75
20 Au 0.9597 0.7550 0.4504  4 Rb 3.50-3.65, 1 Cs 3.75

---

2.
Here is crystalline Cs5Rb3Au3 at its relaxed geometry from the Alexandria database. Energies are from PBE-GGA.

Output
energy relative to the elements: -160 meV/atom
total magnetization: 0.0000 μB per atom
D(E_F): 11.11 states/eV/f.u.

a = 11.3364 Å, b = 11.3364 Å, c = 6.9868 Å
α = 90.00°, β = 90.00°, γ = 120.00°
Last column: nearest neighbours and their distance in Å.
Atoms (fractional coordinates):
1 Cs 0.0000 0.2509 0.0000  2 Au 3.72
2 Cs 0.2509 0.0000 0.0000  2 Au 3.72
3 Cs 0.3333 0.6667 0.0000  3 Au 3.58
4 Cs 0.6667 0.3333 0.0000  3 Au 3.58
5 Cs 0.7491 0.7491 0.0000  2 Au 3.72
6 Rb 0.0000 0.6145 0.5000  2 Au 3.50
7 Rb 0.3855 0.3855 0.5000  2 Au 3.50
8 Rb 0.6145 0.0000 0.5000  2 Au 3.50
9 Au 0.0000 0.6282 0.0000  2 Rb 3.50, 4 Cs 3.58-3.72
10 Au 0.3718 0.3718 0.0000  2 Rb 3.50, 4 Cs 3.58-3.72
11 Au 0.6282 0.0000 0.0000  2 Rb 3.50, 4 Cs 3.58-3.72

---

3.
Here is crystalline Cs2Rb5Au4 at its relaxed geometry from the Alexandria database. Energies are from PBE-GGA.

Output
energy relative to the elements: -194 meV/atom
total magnetization: 0.0000 μB per atom
D(E_F): 4.22 states/eV/f.u.

a = 13.4203 Å, b = 13.4203 Å, c = 9.5473 Å
α = 94.07°, β = 94.07°, γ = 20.84°
Last column: nearest neighbours and their distance in Å.
Atoms (fractional coordinates):
1 Cs 0.0733 0.0733 0.4574  6 Au 3.59-3.82, 1 Cs 4.01
2 Cs 0.9267 0.9267 0.5426  6 Au 3.59-3.82, 1 Cs 4.01
3 Rb 0.0000 0.0000 0.0000  8 Au 3.67-3.71
4 Rb 0.2860 0.2860 0.7097  1 Au 3.48
5 Rb 0.3615 0.3615 0.1317  2 Au 3.42-3.43
6 Rb 0.6385 0.6385 0.8683  2 Au 3.42-3.43
7 Rb 0.7140 0.7140 0.2903  1 Au 3.48
8 Au 0.4149 0.4149 0.8154  1 Au 2.94
9 Au 0.4828 0.4828 0.2863  1 Au 2.94
10 Au 0.5172 0.5172 0.7137  1 Au 2.94
11 Au 0.5851 0.5851 0.1846  1 Au 2.94

---

4.
Here is crystalline Cs8Rb2Au at its relaxed geometry from the Alexandria database. Energies are from PBE-GGA.

Output
energy relative to the elements: -40 meV/atom
total magnetization: 0.0000 μB per atom
D(E_F): 10.75 states/eV/f.u.
energy above the most stable polymorph in this dataset: 16 meV/atom

a = 14.1168 Å, b = 14.1168 Å, c = 9.9862 Å
α = 108.47°, β = 108.47°, γ = 33.24°
Last column: nearest neighbours and their distance in Å.
Atoms (fractional coordinates):
1 Cs 0.0063 0.0063 0.2303  5 Cs 4.50-4.98, 2 Au 4.62
2 Cs 0.2081 0.2081 0.1294  4 Rb 4.92-5.14, 3 Cs 5.24-5.33
3 Cs 0.3804 0.3804 0.7039  1 Au 3.59
4 Cs 0.4134 0.4134 0.2169  1 Au 3.68
5 Cs 0.5866 0.5866 0.7831  1 Au 3.68
6 Cs 0.6196 0.6196 0.2961  1 Au 3.59
7 Cs 0.7919 0.7919 0.8706  4 Rb 4.92-5.14, 3 Cs 5.24-5.33
8 Cs 0.9937 0.9937 0.7697  5 Cs 4.50-4.98, 2 Au 4.62
9 Rb 0.1832 0.1832 0.6181  10 Cs 4.92-5.36
10 Rb 0.8168 0.8168 0.3819  10 Cs 4.92-5.36
11 Au 0.5000 0.5000 0.0000  4 Cs 3.59-3.68

---

5.
Here is crystalline CsRbAu at its relaxed geometry from the Alexandria database. Energies are from PBE-GGA.

Output
energy relative to the elements: -200 meV/atom
total magnetization: 0.0012 μB per atom
D(E_F): 2.83 states/eV/f.u.
energy above the most stable polymorph in this dataset: 6 meV/atom

a = 5.0988 Å, b = 5.0988 Å, c = 8.5814 Å
α = 90.00°, β = 90.00°, γ = 120.00°
Last column: nearest neighbours and their distance in Å.
Atoms (fractional coordinates):
1 Cs 0.0000 0.0000 0.0000  3 Au 3.59
2 Rb 0.3333 0.6667 0.4654  3 Au 3.53
3 Au 0.6667 0.3333 0.2386  3 Rb 3.53, 3 Cs 3.59

---

6.
Here is crystalline CsRb5Au5 at its relaxed geometry from the Alexandria database. Energies are from PBE-GGA.

Output
energy relative to the elements: -269 meV/atom
total magnetization: 0.0000 μB per atom
D(E_F): 3.78 states/eV/f.u.

a = 7.2469 Å, b = 7.2999 Å, c = 9.4767 Å
α = 75.36°, β = 75.39°, γ = 71.18°
Last column: nearest neighbours and their distance in Å.
Atoms (fractional coordinates):
1 Cs 0.0000 0.0000 0.0000  6 Au 3.65-3.67
2 Rb 0.1513 0.1719 0.3469  7 Au 3.57-3.73
3 Rb 0.3261 0.3445 0.6546  7 Au 3.57-3.72
4 Rb 0.5000 0.5000 0.0000  6 Au 3.59-3.62
5 Rb 0.6739 0.6555 0.3454  7 Au 3.57-3.72
6 Rb 0.8487 0.8281 0.6531  7 Au 3.57-3.73
7 Au 0.0000 0.5000 0.0000  6 Rb 3.62-3.73, 2 Cs 3.65
8 Au 0.1832 0.6708 0.3262  7 Rb 3.57-3.69, 1 Cs 3.65
9 Au 0.3481 0.8355 0.6720  7 Rb 3.57-3.70, 1 Cs 3.67
10 Au 0.6519 0.1645 0.3280  7 Rb 3.57-3.70, 1 Cs 3.67
11 Au 0.8168 0.3292 0.6738  7 Rb 3.57-3.69, 1 Cs 3.65